## La3Co2Cu4 (PBE-GGA)

Data for a relaxed La3Co2Cu4 crystal.

## Properties
- E_form: -113 meV per atom
- M_tot: 0.000 μB/cell
- Space group: No. 12
- E: -5.15 eV/atom

The structure in CIF format:
```
data_La3Co2Cu4
_chemical_formula_sum 'La3 Co2 Cu4'
_cell_length_a 4.199
_cell_length_b 5.812
_cell_length_c 8.862
_cell_angle_alpha 64.99
_cell_angle_beta 76.30
_cell_angle_gamma 68.82
_symmetry_space_group_name_H-M 'P 1'
_symmetry_Int_Tables_number 1
loop_
_symmetry_equiv_pos_as_xyz
'x,y,z'
loop_
_atom_site_label
_atom_site_fract_x
_atom_site_fract_y
_atom_site_fract_z
La1 0.326 0.694 0.655
La2 0.000 0.000 0.000
La3 0.674 0.306 0.345
Co1 0.391 0.941 0.276
Co2 0.609 0.059 0.724
Cu1 0.280 0.381 0.060
Cu2 0.720 0.619 0.940
Cu3 0.048 0.285 0.620
Cu4 0.952 0.715 0.380
```